YBe2Tl (PBE, relaxed); E_tot = -3.8001 eV/atom; formation energy = 271 meV/atom; total magnetization = 0.080 μB/atom; DOS(E_F) = 0.482 states/eV per atom; ΔE to the lowest computed polymorph = 259 meV/atom
1.0
3.164 0.000 0.000
0.000 3.164 0.000
0.000 0.000 7.228
Y Be Tl
1 2 1
Direct
0.000 0.000 0.000 Y
0.000 0.000 0.390 Be
0.500 0.500 0.274 Be
0.500 0.500 0.651 Tl